This record from the Alexandria database describes CrCd after structural relaxation. The functional is PBE-GGA. Values from VASP.

Results
DFT total energy in eV/f.u.: -9.8
DFT formation energy in eV per atom: 0.371
Symmetry: Pnma, No. 62

Structure (Quantum ESPRESSO input):
```
&SYSTEM
  ibrav = 0, nat = 16, ntyp = 2
/
ATOMIC_SPECIES
Cr 52.00 Cr.upf
Cd 112.41 Cd.upf
ATOMIC_POSITIONS crystal
Cr 0.1095 0.2500 0.1985
Cr 0.1180 0.7500 0.0103
Cr 0.3820 0.2500 0.5103
Cr 0.3905 0.7500 0.6985
Cr 0.6095 0.2500 0.3015
Cr 0.6180 0.7500 0.4897
Cr 0.8820 0.2500 0.9897
Cr 0.8905 0.7500 0.8015
Cd 0.1251 0.7500 0.4899
Cd 0.1294 0.2500 0.7556
Cd 0.3706 0.7500 0.2556
Cd 0.3749 0.2500 0.9899
Cd 0.6251 0.7500 0.0101
Cd 0.6294 0.2500 0.7444
Cd 0.8706 0.7500 0.2444
Cd 0.8749 0.2500 0.5101
CELL_PARAMETERS angstrom
8.9803 0.0000 0.0000
0.0000 4.2121 0.0000
0.0000 0.0000 7.5520
```